This record from Alexandria describes a geometry-optimized KNa2In2Bi2 structure. The functional is PBE. Values from VASP.

The structure in Quantum ESPRESSO input format:
```
&SYSTEM
  ibrav = 0, nat = 7, ntyp = 4
/
ATOMIC_SPECIES
K 39.10 K.upf
Na 22.99 Na.upf
In 114.82 In.upf
Bi 208.98 Bi.upf
ATOMIC_POSITIONS crystal
K 0.0000 0.0000 0.0000
Na 0.1394 0.1394 0.1394
Na 0.8606 0.8606 0.8606
In 0.4453 0.4453 0.4453
In 0.5547 0.5547 0.5547
Bi 0.2504 0.2504 0.2504
Bi 0.7496 0.7496 0.7496
CELL_PARAMETERS angstrom
2.6692 1.5411 9.6612
-2.6692 1.5411 9.6612
0.0000 -3.0822 9.6612
```

- Total DFT energy (no corrections): -18.69 eV for the cell shown
- D(E_F): 1.38 states/eV per cell
- Energy of formation: -0.24 eV/atom


This record from Alexandria describes a geometry-optimized NiAg2As structure. The functional is PBE. Values from VASP.

The structure in Quantum ESPRESSO input format:
```
&SYSTEM
  ibrav = 0, nat = 8, ntyp = 3
/
ATOMIC_SPECIES
Ni 58.69 Ni.upf
Ag 107.87 Ag.upf
As 74.92 As.upf
ATOMIC_POSITIONS crystal
Ni 0.0000 0.0000 0.0000
Ni 0.5000 0.5000 0.0000
Ag 0.2500 0.2500 0.5000
Ag 0.2500 0.7500 0.5000
Ag 0.7500 0.2500 0.5000
Ag 0.7500 0.7500 0.5000
As 0.0000 0.5000 0.0000
As 0.5000 0.0000 0.0000
CELL_PARAMETERS angstrom
5.3440 0.0000 0.0000
0.0000 8.2805 0.0000
0.0000 0.0000 2.9783
```

- Total DFT energy (no corrections): -30.09 eV for the cell shown
- D(E_F): 5.72 states/eV per cell
- Energy of formation: 0.27 eV/atom


This record from Alexandria describes a geometry-optimized CsYBrO2 structure. The functional is PBE. Values from VASP.

The structure in Quantum ESPRESSO input format:
```
&SYSTEM
  ibrav = 0, nat = 5, ntyp = 4
/
ATOMIC_SPECIES
Cs 132.91 Cs.upf
Y 88.91 Y.upf
Br 79.90 Br.upf
O 16.00 O.upf
ATOMIC_POSITIONS crystal
Cs 0.0000 0.0000 0.0000
Y 0.5000 0.5000 0.5000
Br 0.5000 0.5000 0.0000
O 0.0000 0.5000 0.5000
O 0.5000 0.0000 0.5000
CELL_PARAMETERS angstrom
4.6128 0.0000 0.0000
0.0000 4.6128 0.0000
0.0000 0.0000 5.8954
```

- Total DFT energy (no corrections): -28.47 eV for the cell shown
- D(E_F): 1.31 states/eV per cell
- E_form (uncorrected): -1.9123 eV per atom